A crystal of LiY relaxed with PBEsol, computed with meta-GGA SCAN.

E above lowest polymorph (eV/atom): 0.0000
Symmetry: No. 129

abc: 3.6353 3.6353 7.6397
angles: 90.00 90.00 90.00
Fractional positions:
Y1 0.5000 0.0000 0.6474
Y2 0.0000 0.5000 0.3526
Li1 0.0000 0.5000 0.9123
Li2 0.5000 0.0000 0.0877